No. 1
Density functional theory data (PBE-GGA) for a relaxed LiInGa crystal.

## Properties
Symmetry: P2/m
ΔH_f (0 K) in eV per formula unit: 0.0
Electronic total energy in eV per atom: -2.560
Magnetization in Bohr magnetons per cell: 0.00

Lattice parameters (Å, degrees): 4.656 3.023 5.111 90.00 91.07 90.00
Fractional coordinates of all 3 atoms:
Li1 0.000 0.000 0.000
In1 0.500 0.000 0.500
Ga1 0.500 0.500 0.000

***

No. 2
Density functional theory data (PBE-GGA) for a relaxed TmMnCuIr crystal.

## Properties
Symmetry: F-43m
ΔH_f (0 K) in eV per formula unit: -1.0
Electronic total energy in eV per atom: -6.903
Magnetization in Bohr magnetons per cell: 4.23

Lattice parameters (Å, degrees): 4.571 4.571 4.571 60.00 60.00 60.00
Fractional coordinates of all 4 atoms:
Tm1 0.000 0.000 0.000
Mn1 0.500 0.500 0.500
Cu1 0.750 0.750 0.750
Ir1 0.250 0.250 0.250

***

No. 3
Density functional theory data (PBE-GGA) for a relaxed KAcTlGa crystal.

## Properties
Symmetry: F-43m
ΔH_f (0 K) in eV per formula unit: -0.5
Electronic total energy in eV per atom: -2.779
Magnetization in Bohr magnetons per cell: 0.00

Lattice parameters (Å, degrees): 5.722 5.722 5.722 60.00 60.00 60.00
Fractional coordinates of all 4 atoms:
K1 0.000 0.000 0.000
Ac1 0.500 0.500 0.500
Tl1 0.750 0.750 0.750
Ga1 0.250 0.250 0.250

***

No. 4
Density functional theory data (PBE-GGA) for a relaxed La2ScPd4 crystal.

## Properties
Symmetry: Fmmm
ΔH_f (0 K) in eV per formula unit: -3.3
Electronic total energy in eV per atom: -5.750
Magnetization in Bohr magnetons per cell: 0.00

Lattice parameters (Å, degrees): 8.553 8.234 4.896 76.66 69.50 33.85
Fractional coordinates of all 7 atoms:
La1 0.143 0.143 0.857
La2 0.857 0.857 0.143
Sc1 0.500 0.500 0.500
Pd1 0.000 0.000 0.500
Pd2 0.330 0.330 0.670
Pd3 0.500 0.500 0.000
Pd4 0.670 0.670 0.330

***

No. 5
Density functional theory data (PBE-GGA) for a relaxed Ac8Sn2Hg crystal.

## Properties
Symmetry: C2/m
ΔH_f (0 K) in eV per formula unit: -3.4
Electronic total energy in eV per atom: -4.048
Magnetization in Bohr magnetons per cell: 0.00

Lattice parameters (Å, degrees): 10.891 10.891 7.601 103.01 103.01 29.72
Fractional coordinates of all 11 atoms:
Ac1 0.020 0.020 0.272
Ac2 0.211 0.211 0.827
Ac3 0.342 0.342 0.509
Ac4 0.408 0.408 0.028
Ac5 0.592 0.592 0.972
Ac6 0.658 0.658 0.491
Ac7 0.789 0.789 0.173
Ac8 0.980 0.980 0.728
Sn1 0.183 0.183 0.255
Sn2 0.817 0.817 0.745
Hg1 0.500 0.500 0.500

***

No. 6
Density functional theory data (PBE-GGA) for a relaxed HgRu2 crystal.

## Properties
Symmetry: P6_3/mmc
ΔH_f (0 K) in eV per formula unit: 2.5
Electronic total energy in eV per atom: -5.449
Magnetization in Bohr magnetons per cell: 2.52

Lattice parameters (Å, degrees): 4.593 4.593 5.408 90.00 90.00 120.00
Fractional coordinates of all 6 atoms:
Hg1 0.333 0.667 0.250
Hg2 0.667 0.333 0.750
Ru1 0.000 0.000 0.000
Ru2 0.000 0.000 0.500
Ru3 0.333 0.667 0.750
Ru4 0.667 0.333 0.250

***

No. 7
Density functional theory data (PBE-GGA) for a relaxed BaAg2Te crystal.

## Properties
Symmetry: R3m
Electronic total energy in eV per atom: -3.164
Formation energy without anion corrections in eV per atom: -0.47
Magnetization in Bohr magnetons per cell: 0.00

Lattice parameters (Å, degrees): 6.706 6.706 6.706 42.02 42.02 42.02
Fractional coordinates of all 4 atoms:
Ba1 0.000 0.000 0.000
Ag1 0.220 0.220 0.220
Ag2 0.514 0.514 0.514
Te1 0.786 0.786 0.786

***

No. 8
Density functional theory data (PBE-GGA) for a relaxed Cs3Na8Hg3 crystal.

## Properties
Symmetry: Immm
ΔH_f (0 K) in eV per formula unit: -1.2
Electronic total energy in eV per atom: -1.084
Magnetization in Bohr magnetons per cell: 0.00

Lattice parameters (Å, degrees): 10.927 10.927 10.927 149.60 106.07 81.99
Fractional coordinates of all 14 atoms:
Cs1 0.000 0.000 0.000
Cs2 0.347 0.347 0.000
Cs3 0.653 0.653 0.000
Na1 0.029 0.684 0.345
Na2 0.182 0.899 0.283
Na3 0.339 0.684 0.655
Na4 0.385 0.101 0.283
Na5 0.615 0.899 0.717
Na6 0.661 0.316 0.345
Na7 0.818 0.101 0.717
Na8 0.971 0.316 0.655
Hg1 0.241 0.500 0.741
Hg2 0.500 0.000 0.500
Hg3 0.759 0.500 0.259

***

No. 9
Density functional theory data (PBE-GGA) for a relaxed TbNiBi2 crystal.

## Properties
Symmetry: R-3m
ΔH_f (0 K) in eV per formula unit: 0.4
Electronic total energy in eV per atom: -4.454
Magnetization in Bohr magnetons per cell: 0.00

Lattice parameters (Å, degrees): 10.152 10.152 10.152 20.15 20.15 20.15
Fractional coordinates of all 4 atoms:
Tb1 0.000 0.000 0.000
Ni1 0.500 0.500 0.500
Bi1 0.107 0.107 0.107
Bi2 0.893 0.893 0.893

***

No. 10
Density functional theory data (PBE-GGA) for a relaxed TiSbI2 crystal.

## Properties
Symmetry: Fm-3m
Electronic total energy in eV per atom: -3.402
Formation energy without anion corrections in eV per atom: 0.38
Magnetization in Bohr magnetons per cell: 0.00

Lattice parameters (Å, degrees): 5.271 5.271 5.271 60.00 60.00 60.00
Fractional coordinates of all 4 atoms:
Ti1 0.000 0.000 0.000
Sb1 0.500 0.500 0.500
I1 0.250 0.250 0.250
I2 0.750 0.750 0.750

***

No. 11
Density functional theory data (PBE-GGA) for a relaxed PmAgPt crystal.

## Properties
Symmetry: Cmcm
ΔH_f (0 K) in eV per formula unit: -2.2
Electronic total energy in eV per atom: -5.295
Magnetization in Bohr magnetons per cell: 0.00

Lattice parameters (Å, degrees): 5.025 5.025 5.816 90.00 90.00 115.99
Fractional coordinates of all 6 atoms:
Pm1 0.157 0.843 0.750
Pm2 0.843 0.157 0.250
Ag1 0.500 0.500 0.000
Ag2 0.500 0.500 0.500
Pt1 0.193 0.807 0.250
Pt2 0.807 0.193 0.750

***

No. 12
Density functional theory data (PBE-GGA) for a relaxed MnPt2Se2 crystal.

## Properties
Symmetry: I4/mmm
Electronic total energy in eV per atom: -5.374
Formation energy without anion corrections in eV per atom: 0.27
Magnetization in Bohr magnetons per cell: 3.75

Lattice parameters (Å, degrees): 7.312 7.312 7.312 150.26 150.26 42.57
Fractional coordinates of all 5 atoms:
Mn1 0.000 0.000 0.000
Pt1 0.250 0.750 0.500
Pt2 0.750 0.250 0.500
Se1 0.394 0.394 0.000
Se2 0.606 0.606 0.000

***

Number 5 is which compound?
Ac8Sn2Hg

***

Please write out number 6 again, unchanged.
Density functional theory data (PBE-GGA) for a relaxed HgRu2 crystal.

## Properties
Symmetry: P6_3/mmc
ΔH_f (0 K) in eV per formula unit: 2.5
Electronic total energy in eV per atom: -5.449
Magnetization in Bohr magnetons per cell: 2.52

Lattice parameters (Å, degrees): 4.593 4.593 5.408 90.00 90.00 120.00
Fractional coordinates of all 6 atoms:
Hg1 0.333 0.667 0.250
Hg2 0.667 0.333 0.750
Ru1 0.000 0.000 0.000
Ru2 0.000 0.000 0.500
Ru3 0.333 0.667 0.750
Ru4 0.667 0.333 0.250

***

What is the formula in the fourth record?
La2ScPd4